Here is a relaxed structure of Rb2RhBr6Cl from the Alexandria database. Energies are from PBE.

Lattice parameters (Å, degrees): 7.936 7.936 7.936 122.56 122.56 85.61
Element x y z (fractional)
Rb1 0.250 0.750 0.500
Rb2 0.750 0.250 0.500
Rh1 0.000 0.000 0.000
Br1 0.214 0.214 0.000
Br2 0.234 0.234 0.469
Br3 0.234 0.766 0.000
Br4 0.766 0.234 0.000
Br5 0.766 0.766 0.531
Br6 0.786 0.786 0.000
Cl1 0.500 0.500 0.000

Values from the calculation:
Crystal system: tetragonal
Raw formation energy: -767 meV/atom



Here is a relaxed structure of Tb3CoBi2 from the Alexandria database. Energies are from PBE.

Lattice parameters (Å, degrees): 8.557 8.557 3.576 90.00 90.00 137.94
Element x y z (fractional)
Tb1 0.000 0.000 0.000
Tb2 0.382 0.618 0.500
Tb3 0.618 0.382 0.500
Co1 0.500 0.500 0.000
Bi1 0.174 0.826 0.500
Bi2 0.826 0.174 0.500

Values from the calculation:
Crystal system: orthorhombic
Formation energy from the elements: -1.77 eV per formula unit



Here is a relaxed structure of Ce5PtAu from the Alexandria database. Energies are from PBE.

Lattice parameters (Å, degrees): 6.380 6.380 6.380 126.68 118.99 85.30
Element x y z (fractional)
Ce1 0.000 0.000 0.000
Ce2 0.042 0.769 0.272
Ce3 0.497 0.769 0.728
Ce4 0.594 0.336 0.742
Ce5 0.594 0.853 0.258
Pt1 0.982 0.482 0.500
Au1 0.308 0.308 0.000

Values from the calculation:
Crystal system: orthorhombic
Formation energy from the elements: -0.74 eV per formula unit



Here is a relaxed structure of Mg2CrI6 from the Alexandria database. Energies are from PBE.

Lattice parameters (Å, degrees): 8.524 8.524 10.936 112.48 112.48 28.50
Element x y z (fractional)
Mg1 0.168 0.168 0.330
Mg2 0.832 0.832 0.670
Cr1 0.500 0.500 0.000
I1 0.131 0.131 0.047
I2 0.197 0.197 0.614
I3 0.468 0.468 0.725
I4 0.532 0.532 0.275
I5 0.803 0.803 0.386
I6 0.869 0.869 0.953

Values from the calculation:
Crystal system: monoclinic
Raw formation energy: -780 meV/atom



Here is a relaxed structure of TiNb2V2Ru5 from the Alexandria database. Energies are from PBE.

Lattice parameters (Å, degrees): 9.295 9.295 3.549 90.00 90.00 90.00
Element x y z (fractional)
Ti1 0.000 0.000 0.000
Ti2 0.500 0.500 0.000
Nb1 0.174 0.326 0.000
Nb2 0.326 0.826 0.000
Nb3 0.674 0.174 0.000
Nb4 0.826 0.674 0.000
V1 0.128 0.628 0.000
V2 0.372 0.128 0.000
V3 0.628 0.872 0.000
V4 0.872 0.372 0.000
Ru1 0.000 0.500 0.500
Ru2 0.066 0.798 0.500
Ru3 0.202 0.066 0.500
Ru4 0.298 0.566 0.500
Ru5 0.434 0.298 0.500
Ru6 0.500 0.000 0.500
Ru7 0.566 0.702 0.500
Ru8 0.702 0.434 0.500
Ru9 0.798 0.934 0.500
Ru10 0.934 0.202 0.500

Values from the calculation:
Crystal system: tetragonal
Formation energy from the elements: -1.42 eV per formula unit



Here is a relaxed structure of Ho3ThSc7 from the Alexandria database. Energies are from PBE.

Lattice parameters (Å, degrees): 6.622 6.622 8.258 90.00 90.00 120.00
Element x y z (fractional)
Ho1 0.000 0.500 0.000
Ho2 0.500 0.000 0.000
Ho3 0.500 0.500 0.000
Th1 0.333 0.667 0.344
Sc1 0.168 0.336 0.661
Sc2 0.168 0.832 0.661
Sc3 0.334 0.167 0.346
Sc4 0.664 0.832 0.661
Sc5 0.667 0.333 0.664
Sc6 0.833 0.167 0.346
Sc7 0.833 0.666 0.346

Values from the calculation:
Crystal system: trigonal
Formation energy from the elements: 2.29 eV per formula unit



Here is a relaxed structure of Li2TlTc from the Alexandria database. Energies are from PBE.

Lattice parameters (Å, degrees): 4.598 4.598 4.598 60.00 60.00 60.00
Element x y z (fractional)
Li1 0.000 0.000 0.000
Li2 0.250 0.250 0.250
Tl1 0.750 0.750 0.750
Tc1 0.500 0.500 0.500

Values from the calculation:
Excess energy over the best structure of this formula in the dataset: 0.0750 eV per atom
Crystal system: cubic
Formation energy from the elements: 1.42 eV per formula unit



Here is a relaxed structure of ThInSe from the Alexandria database. Energies are from PBE.

Lattice parameters (Å, degrees): 4.526 4.526 11.238 90.00 90.00 120.00
Element x y z (fractional)
Th1 0.000 0.000 0.214
Th2 0.000 0.000 0.786
In1 0.333 0.667 0.956
In2 0.667 0.333 0.044
Se1 0.333 0.667 0.334
Se2 0.667 0.333 0.666

Values from the calculation:
Crystal system: trigonal
Raw formation energy: -896 meV/atom



Here is a relaxed structure of ZrBiSe2Cl from the Alexandria database. Energies are from PBE.

Lattice parameters (Å, degrees): 5.595 5.595 5.129 90.00 90.00 90.00
Element x y z (fractional)
Zr1 0.000 0.000 0.000
Bi1 0.500 0.500 0.500
Se1 0.000 0.500 0.500
Se2 0.500 0.000 0.500
Cl1 0.500 0.500 0.000

Values from the calculation:
Crystal system: tetragonal
Raw formation energy: 275 meV/atom



Here is a relaxed structure of TlBrN2F from the Alexandria database. Energies are from PBE.

Lattice parameters (Å, degrees): 4.617 4.617 4.437 90.00 90.00 90.00
Element x y z (fractional)
Tl1 0.000 0.000 0.000
Br1 0.500 0.500 0.500
N1 0.000 0.500 0.000
N2 0.500 0.000 0.000
F1 0.000 0.000 0.500

Values from the calculation:
Excess energy over the best structure of this formula in the dataset: 0.0795 eV per atom
Crystal system: tetragonal
Raw formation energy: 1294 meV/atom



Here is a relaxed structure of LiTc2 from the Alexandria database. Energies are from PBE.

Lattice parameters (Å, degrees): 7.340 7.340 4.274 90.00 90.00 159.13
Element x y z (fractional)
Li1 0.116 0.884 0.750
Li2 0.884 0.116 0.250
Tc1 0.213 0.787 0.250
Tc2 0.451 0.549 0.750
Tc3 0.549 0.451 0.250
Tc4 0.787 0.213 0.750

Values from the calculation:
Excess energy over the best structure of this formula in the dataset: 0.0958 eV per atom
Crystal system: orthorhombic
Formation energy from the elements: 0.58 eV per formula unit



Here is a relaxed structure of YTa2BeNi from the Alexandria database. Energies are from PBE.

Lattice parameters (Å, degrees): 4.896 4.896 4.507 90.00 90.00 90.00
Element x y z (fractional)
Y1 0.000 0.000 0.000
Ta1 0.000 0.500 0.000
Ta2 0.500 0.000 0.000
Be1 0.000 0.000 0.500
Ni1 0.500 0.500 0.500

Values from the calculation:
Crystal system: tetragonal
Formation energy from the elements: 12.54 eV per formula unit



Here is a relaxed structure of Sr2MnCr from the Alexandria database. Energies are from PBE.

Lattice parameters (Å, degrees): 5.518 5.518 5.518 60.00 60.00 60.00
Element x y z (fractional)
Sr1 0.000 0.000 0.000
Sr2 0.250 0.250 0.250
Mn1 0.750 0.750 0.750
Cr1 0.500 0.500 0.500

Values from the calculation:
Excess energy over the best structure of this formula in the dataset: 0.3659 eV per atom
Crystal system: cubic
Formation energy from the elements: 3.37 eV per formula unit



Here is a relaxed structure of H6OsPb2 from the Alexandria database. Energies are from PBE.

Lattice parameters (Å, degrees): 5.322 5.322 5.322 60.23 60.23 60.23
Element x y z (fractional)
H1 0.270 0.270 0.729
H2 0.270 0.729 0.270
H3 0.271 0.730 0.730
H4 0.729 0.270 0.270
H5 0.730 0.271 0.730
H6 0.730 0.730 0.271
Os1 0.500 0.500 0.500
Pb1 0.250 0.250 0.250
Pb2 0.750 0.750 0.750

Values from the calculation:
Crystal system: trigonal
DFT total energy: -4.188 eV per atom



Here is a relaxed structure of Th8GeAs4S3 from the Alexandria database. Energies are from PBE.

Lattice parameters (Å, degrees): 8.370 8.370 8.370 60.02 60.02 60.02
Element x y z (fractional)
Th1 0.245 0.749 0.749
Th2 0.247 0.247 0.247
Th3 0.251 0.251 0.755
Th4 0.251 0.755 0.251
Th5 0.749 0.245 0.749
Th6 0.749 0.749 0.245
Th7 0.753 0.753 0.753
Th8 0.755 0.251 0.251
Ge1 0.500 0.500 0.500
As1 0.000 0.000 0.000
As2 0.000 0.500 0.500
As3 0.500 0.000 0.500
As4 0.500 0.500 0.000
S1 0.000 0.000 0.500
S2 0.000 0.500 0.000
S3 0.500 0.000 0.000

Values from the calculation:
Crystal system: trigonal
Raw formation energy: -1491 meV/atom



Here is a relaxed structure of PPbSe2 from the Alexandria database. Energies are from PBE.

Lattice parameters (Å, degrees): 6.039 6.039 4.037 99.91 99.91 45.66
Element x y z (fractional)
P1 0.000 0.000 0.000
Pb1 0.500 0.500 0.500
Se1 0.235 0.235 0.104
Se2 0.765 0.765 0.896

Values from the calculation:
Excess energy over the best structure of this formula in the dataset: 0.2477 eV per atom
Crystal system: monoclinic
Raw formation energy: 119 meV/atom



Here is a relaxed structure of KLa2Mg from the Alexandria database. Energies are from PBE.

Lattice parameters (Å, degrees): 13.236 13.236 13.236 16.15 16.15 16.15
Element x y z (fractional)
K1 0.000 0.000 0.000
La1 0.234 0.234 0.234
La2 0.766 0.766 0.766
Mg1 0.500 0.500 0.500

Values from the calculation:
Crystal system: trigonal
Formation energy from the elements: 0.71 eV per formula unit



Here is a relaxed structure of TaTePRh2 from the Alexandria database. Energies are from PBE.

Lattice parameters (Å, degrees): 4.729 4.729 4.926 90.00 90.00 90.00
Element x y z (fractional)
Ta1 0.000 0.000 0.000
Te1 0.500 0.500 0.500
P1 0.500 0.500 0.000
Rh1 0.000 0.500 0.500
Rh2 0.500 0.000 0.500

Values from the calculation:
Crystal system: tetragonal
Raw formation energy: 1478 meV/atom



Here is a relaxed structure of HoAgTe2 from the Alexandria database. Energies are from PBE.

Lattice parameters (Å, degrees): 4.481 4.481 7.361 90.00 90.00 120.00
Element x y z (fractional)
Ho1 0.000 0.000 0.000
Ag1 0.333 0.667 0.404
Te1 0.333 0.667 0.780
Te2 0.667 0.333 0.244

Values from the calculation:
Crystal system: trigonal
Raw formation energy: -885 meV/atom



Here is a relaxed structure of VTe2Pd from the Alexandria database. Energies are from PBE.

Lattice parameters (Å, degrees): 5.990 3.976 7.964 90.00 93.68 90.00
Element x y z (fractional)
V1 0.010 0.250 0.101
V2 0.990 0.750 0.899
Te1 0.252 0.250 0.386
Te2 0.299 0.250 0.867
Te3 0.701 0.750 0.133
Te4 0.748 0.750 0.614
Pd1 0.233 0.750 0.620
Pd2 0.767 0.250 0.380

Values from the calculation:
Excess energy over the best structure of this formula in the dataset: 0.0000 eV per atom
Crystal system: monoclinic
Raw formation energy: -162 meV/atom



Here is a relaxed structure of Zr3TaMn from the Alexandria database. Energies are from PBE.

Lattice parameters (Å, degrees): 5.070 5.070 5.070 90.00 90.00 90.00
Element x y z (fractional)
Zr1 0.000 0.000 0.500
Zr2 0.000 0.500 0.000
Zr3 0.500 0.000 0.000
Ta1 0.000 0.000 0.000
Mn1 0.500 0.500 0.500

Values from the calculation:
Excess energy over the best structure of this formula in the dataset: 0.9203 eV per atom
Crystal system: cubic
Formation energy from the elements: 7.78 eV per formula unit



Here is a relaxed structure of Sb2TeIBr from the Alexandria database. Energies are from PBE.

Lattice parameters (Å, degrees): 5.673 5.673 5.647 90.00 90.00 90.00
Element x y z (fractional)
Sb1 0.000 0.500 0.000
Sb2 0.500 0.000 0.000
Te1 0.000 0.000 0.500
I1 0.500 0.500 0.500
Br1 0.000 0.000 0.000

Values from the calculation:
Excess energy over the best structure of this formula in the dataset: 0.2659 eV per atom
Crystal system: tetragonal
Raw formation energy: 861 meV/atom



Here is a relaxed structure of Sb2PtCl from the Alexandria database. Energies are from PBE.

Lattice parameters (Å, degrees): 3.467 3.467 9.293 90.00 90.00 90.00
Element x y z (fractional)
Sb1 0.000 0.000 0.000
Sb2 0.500 0.500 0.405
Pt1 0.500 0.500 0.121
Cl1 0.000 0.000 0.738

Values from the calculation:
Excess energy over the best structure of this formula in the dataset: 0.3127 eV per atom
Crystal system: tetragonal
Raw formation energy: -166 meV/atom



Here is a relaxed structure of Mg2SbTe from the Alexandria database. Energies are from PBE.

Lattice parameters (Å, degrees): 3.750 3.750 8.045 90.00 90.00 109.77
Element x y z (fractional)
Mg1 0.000 0.000 0.246
Mg2 0.000 0.000 0.754
Sb1 0.500 0.500 0.500
Te1 0.500 0.500 0.000

Values from the calculation:
Excess energy over the best structure of this formula in the dataset: 0.2334 eV per atom
Crystal system: orthorhombic
Raw formation energy: -235 meV/atom



Here is a relaxed structure of Ca2Hg2Te from the Alexandria database. Energies are from PBE.

Lattice parameters (Å, degrees): 8.284 8.284 4.634 90.00 90.00 90.00
Element x y z (fractional)
Ca1 0.174 0.326 0.000
Ca2 0.326 0.826 0.000
Ca3 0.674 0.174 0.000
Ca4 0.826 0.674 0.000
Hg1 0.131 0.631 0.500
Hg2 0.369 0.131 0.500
Hg3 0.631 0.869 0.500
Hg4 0.869 0.369 0.500
Te1 0.000 0.000 0.000
Te2 0.500 0.500 0.000

Values from the calculation:
Excess energy over the best structure of this formula in the dataset: 0.0000 eV per atom
Crystal system: tetragonal
Raw formation energy: -648 meV/atom